1.
Density functional theory data (GGA-PBE) for a relaxed K7Rb4Tl crystal.

POSCAR file:
```
K7Rb4Tl
1.0
7.6467 -3.5112 0.0000
7.6467 3.5112 0.0000
-4.3299 0.0000 16.3517
K Rb Tl
7 4 1
Direct
0.0000 0.0000 0.0000
0.1026 0.1026 0.6246
0.2595 0.2595 0.9107
0.3635 0.3635 0.5349
0.6365 0.6365 0.4651
0.7405 0.7405 0.0893
0.8974 0.8974 0.3754
0.1625 0.1625 0.2675
0.4469 0.4469 0.1999
0.5531 0.5531 0.8001
0.8375 0.8375 0.7325
0.5000 0.5000 0.0000
```

Values from the calculation:
Space-group type: C2/m
Calculated total energy: -1.145 eV/atom
Formation enthalpy at 0 K: 14 meV per atom



2.
Density functional theory data (GGA-PBE) for a relaxed CeUCrC3 crystal.

POSCAR file:
```
CeUCrC3
1.0
7.2205 0.0000 0.0000
0.0000 3.5192 0.0000
-0.8925 0.0000 7.4063
Ce U Cr C
2 2 2 6
Direct
0.1588 0.2500 0.1801
0.8412 0.7500 0.8199
0.3600 0.7500 0.8226
0.6400 0.2500 0.1774
0.0956 0.2500 0.5892
0.9044 0.7500 0.4108
0.1299 0.2500 0.8464
0.1627 0.7500 0.5165
0.4188 0.7500 0.1245
0.5812 0.2500 0.8755
0.8373 0.2500 0.4835
0.8701 0.7500 0.1536
```

Values from the calculation:
Space-group type: P2_1/m
Calculated total energy: -9.104 eV/atom
Formation enthalpy at 0 K: -18 meV per atom



3.
Density functional theory data (GGA-PBE) for a relaxed Sm4Tm2MgSc crystal.

POSCAR file:
```
Sm4Tm2MgSc
1.0
5.0165 0.0000 0.0000
0.0000 5.0165 0.0000
0.0000 0.0000 9.6039
Sm Tm Mg Sc
4 2 1 1
Direct
0.0000 0.5000 0.2490
0.0000 0.5000 0.7510
0.5000 0.0000 0.2490
0.5000 0.0000 0.7510
0.0000 0.0000 0.0000
0.5000 0.5000 0.5000
0.0000 0.0000 0.5000
0.5000 0.5000 0.0000
```

Values from the calculation:
Space-group type: P4/mmm
Calculated total energy: -4.448 eV/atom
Formation enthalpy at 0 K: 20 meV per atom



4.
Density functional theory data (GGA-PBE) for a relaxed K2RbBr3 crystal.

POSCAR file:
```
K2RbBr3
1.0
-2.3981 3.4037 7.2067
2.3981 -3.4037 7.2067
2.3981 3.4037 -7.2067
K Rb Br
2 1 3
Direct
0.1659 0.1659 0.0000
0.8341 0.8341 0.0000
0.5000 0.5000 0.0000
0.0000 0.5000 0.5000
0.3265 0.8265 0.5000
0.6735 0.1735 0.5000
```

Values from the calculation:
Space-group type: Immm
Calculated total energy: -3.110 eV/atom
Raw formation energy: -1.7461 eV/atom